First-principles (PBE with a Hubbard U) data for a relaxed structure of Y6WO12, as listed in Alexandria via LeMat-Bulk.

Values from the calculation:
**Calculated total energy**: -504.5 eV/cell
**D(E_F)**: 0.00 states/eV per atom
**Crystal system**: trigonal

a = 9.8752 Å, b = 9.8752 Å, c = 9.4187 Å
α = 90.00°, β = 90.00°, γ = 120.00°
With the nearest neighbours (Å) after each atom.
Space group R-3 (No. 148, hexagonal axes)
Inequivalent atoms, fractional coordinates:
Y1 0.0408 0.7871 0.1433 (multiplicity 18)  6 O 2.21-2.43
W1 0.0000 0.0000 0.5000 (multiplicity 3)  6 O 1.97
O1 0.0313 0.8085 0.9000 (multiplicity 18)  4 Y 2.21-2.31
O2 0.0356 0.8527 0.3870 (multiplicity 18)  1 W 1.97